No. 1
Entry from Alexandria via LeMat-Bulk: a geometry-optimized Li2CrTe structure (PBE).

Properties
* total magnetic moment: 4.148 μB per formula unit
* N(E_F): 0.23 states/eV per atom
* raw formation energy: -0.2053 eV/atom
* crystal system: tetragonal

Structure (CIF):
```
data_Li2CrTe
_cell_length_a 4.1136
_cell_length_b 4.1136
_cell_length_c 4.3190
_cell_angle_alpha 90.00
_cell_angle_beta 90.00
_cell_angle_gamma 90.00
_symmetry_space_group_name_H-M 'P 4/m m m'
_symmetry_Int_Tables_number 123
_symmetry_space_group_name_Hall '-P 4 2'
loop_
_atom_site_label
_atom_site_type_symbol
_atom_site_fract_x
_atom_site_fract_y
_atom_site_fract_z
Li1 Li 0.0000 0.5000 0.0000
Cr1 Cr 0.0000 0.0000 0.5000
Te1 Te 0.5000 0.5000 0.5000
```

No. 2
Entry from Alexandria via LeMat-Bulk: a geometry-optimized NaTl10Bi4 structure (PBE).

Properties
* total magnetic moment: 0.000 μB per formula unit
* N(E_F): 0.54 states/eV per atom
* calculated total energy: -80.506 eV per cell
* crystal system: tetragonal

Structure (CIF):
```
data_NaTl10Bi4
_cell_length_a 11.7925
_cell_length_b 11.7925
_cell_length_c 8.0061
_cell_angle_alpha 90.00
_cell_angle_beta 90.00
_cell_angle_gamma 90.00
_symmetry_space_group_name_H-M 'I 4/m'
_symmetry_Int_Tables_number 87
_symmetry_space_group_name_Hall '-I 4'
loop_
_atom_site_label
_atom_site_type_symbol
_atom_site_fract_x
_atom_site_fract_y
_atom_site_fract_z
Na1 Na 0.0000 0.0000 0.0000
Tl1 Tl 0.0000 0.5000 0.2500
Tl2 Tl 0.0904 0.1940 0.2653
Bi1 Bi 0.1170 0.6941 0.5000
```